An optimized crystal structure of LaTbPm2. Source: Alexandria, functional PBE.

a b c (Å): 3.6594 6.3562 6.2909
angles (deg): 99.60 90.00 106.73
Sites, in units of the cell vectors:
La 0.0000 0.0000 0.5000
Tb 0.5000 0.0000 0.0000
Pm 0.2488 0.4976 0.2488
Pm 0.7512 0.5024 0.7512

Summary:
ΔH_f (0 K)   0.019 eV per atom
Space group   C2/m (12)
Excess energy over the best structure of this formula in the dataset   1 meV per atom



An optimized crystal structure of Pr4Er3ScSe8. Source: Alexandria, functional PBE.

a b c (Å): 8.1264 8.4220 8.1266
angles (deg): 118.84 120.00 90.00
Sites, in units of the cell vectors:
Pr 0.5000 0.0000 0.0000
Pr 0.5000 0.0000 0.5000
Pr 0.0000 0.0000 0.0000
Pr 0.0000 0.0000 0.5000
Er 0.5000 0.5000 0.0000
Er 0.5000 0.5000 0.5000
Er 0.0000 0.5000 0.5000
Sc 0.0000 0.5000 0.0000
Se 0.2386 0.7243 0.9857
Se 0.2386 0.7242 0.4772
Se 0.2573 0.2719 0.5146
Se 0.7471 0.7243 0.9857
Se 0.2529 0.2757 0.0143
Se 0.7427 0.7281 0.4854
Se 0.7614 0.2758 0.5228
Se 0.7614 0.2757 0.0143

Summary:
Space group   R-3m (166)
Formation energy from raw total energies   -1.76 eV per atom



In eV/cell, the total DFT energy (no corrections) values for the records above are, in order, -19.0 -95.1.